No. 1
ReAsPt2 after structural relaxation. Source: the Alexandria database, functional GGA-PBE.

```
data_ReAsPt2
_cell_length_a 2.732
_cell_length_b 4.594
_cell_length_c 10.921
_cell_angle_alpha 90.00
_cell_angle_beta 90.00
_cell_angle_gamma 90.00
_symmetry_space_group_name_H-M 'I m m 2'
_symmetry_Int_Tables_number 44
loop_
_symmetry_equiv_pos_as_xyz
'x,y,z'
'-x,-y,z'
'-x,y,z'
'x,-y,z'
'x+1/2,y+1/2,z+1/2'
'-x+1/2,-y+1/2,z+1/2'
'-x+1/2,y+1/2,z+1/2'
'x+1/2,-y+1/2,z+1/2'
loop_
_atom_site_label
_atom_site_type_symbol
_atom_site_fract_x
_atom_site_fract_y
_atom_site_fract_z
_atom_site_occupancy
Re1 Re 0.000 0.000 0.000 1
As1 As 0.000 0.500 0.714 1
Pt1 Pt 0.000 0.000 0.555 1
Pt2 Pt 0.000 0.500 0.295 1
```

Output
For the total energy, the calculation gives -7.1261 eV/atom. Its total magnetization is 0.0 μB per formula unit. The formation enthalpy at 0 K is 16.3 kJ per mole of atoms.

***

No. 2
NiPtRh4 after structural relaxation. Source: the Alexandria database, functional GGA-PBE.

```
data_NiPtRh4
_cell_length_a 4.154
_cell_length_b 12.182
_cell_length_c 7.536
_cell_angle_alpha 90.00
_cell_angle_beta 90.00
_cell_angle_gamma 90.00
_symmetry_space_group_name_H-M 'C m c m'
_symmetry_Int_Tables_number 63
_symmetry_space_group_name_Hall '-C 2c 2'
loop_
_atom_site_label
_atom_site_type_symbol
_atom_site_fract_x
_atom_site_fract_y
_atom_site_fract_z
_atom_site_occupancy
Ni1 Ni 0.000 0.143 0.250 1
Pt1 Pt 0.000 0.343 0.250 1
Rh1 Rh 0.000 0.042 0.750 1
Rh2 Rh 0.000 0.278 0.585 1
Rh3 Rh 0.000 0.500 0.000 1
```

Output
For the total energy, the calculation gives -6.3383 eV/atom. Its total magnetization is 0.0 μB per formula unit. The formation enthalpy at 0 K is 51.4 kJ per mole of atoms.

***

No. 3
Pr2UN4 after structural relaxation. Source: the Alexandria database, functional GGA-PBE.

```
data_Pr2UN4
_cell_length_a 6.064
_cell_length_b 10.150
_cell_length_c 3.615
_cell_angle_alpha 90.00
_cell_angle_beta 90.00
_cell_angle_gamma 90.00
_symmetry_space_group_name_H-M 'P b a m'
_symmetry_Int_Tables_number 55
loop_
_symmetry_equiv_pos_as_xyz
'x,y,z'
'-x,-y,-z'
'-x,-y,z'
'x,y,-z'
'x+1/2,-y+1/2,-z'
'-x+1/2,y+1/2,z'
'-x+1/2,y+1/2,-z'
'x+1/2,-y+1/2,z'
loop_
_atom_site_label
_atom_site_type_symbol
_atom_site_fract_x
_atom_site_fract_y
_atom_site_fract_z
_atom_site_occupancy
Pr1 Pr 0.064 0.177 0.000 1
U1 U 0.000 0.500 0.500 1
N1 N 0.138 0.687 0.500 1
N2 N 0.221 0.456 0.000 1
```

Output
For the formation energy from raw total energies, the calculation gives -1439 meV/atom. For the total energy, the calculation gives -9.1747 eV/atom. Its total magnetization is 0.0 μB per formula unit.

***

No. 4
LiNiSb2 after structural relaxation. Source: the Alexandria database, functional GGA-PBE.

```
data_LiNiSb2
_cell_length_a 3.703
_cell_length_b 3.703
_cell_length_c 5.542
_cell_angle_alpha 90.00
_cell_angle_beta 90.00
_cell_angle_gamma 90.00
_symmetry_space_group_name_H-M 'P 4 m m'
_symmetry_Int_Tables_number 99
loop_
_symmetry_equiv_pos_as_xyz
'x,y,z'
'-y,x,z'
'-x,-y,z'
'y,-x,z'
'-x,y,z'
'y,x,z'
'x,-y,z'
'-y,-x,z'
loop_
_atom_site_label
_atom_site_type_symbol
_atom_site_fract_x
_atom_site_fract_y
_atom_site_fract_z
_atom_site_occupancy
Li1 Li 0.000 0.000 0.000 1
Ni1 Ni 0.500 0.500 0.336 1
Sb1 Sb 0.000 0.000 0.476 1
Sb2 Sb 0.500 0.500 0.832 1
```

Output
For the formation energy from raw total energies, the calculation gives -62 meV/atom. For the total energy, the calculation gives -4.0468 eV/atom. Its total magnetization is 0.0 μB per formula unit.

***

No. 5
NaPmGePt after structural relaxation. Source: the Alexandria database, functional GGA-PBE.

```
data_NaPmGePt
_cell_length_a 7.021
_cell_length_b 7.021
_cell_length_c 7.021
_cell_angle_alpha 90.00
_cell_angle_beta 90.00
_cell_angle_gamma 90.00
_symmetry_space_group_name_H-M 'F -4 3 m'
_symmetry_Int_Tables_number 216
_symmetry_space_group_name_Hall 'F -4 2 3'
loop_
_atom_site_label
_atom_site_type_symbol
_atom_site_fract_x
_atom_site_fract_y
_atom_site_fract_z
_atom_site_occupancy
Na1 Na 0.000 0.000 0.000 1
Pm1 Pm 0.000 0.000 0.500 1
Ge1 Ge 0.250 0.250 0.750 1
Pt1 Pt 0.250 0.250 0.250 1
```

Output
For the total energy, the calculation gives -4.6611 eV/atom. Its total magnetization is 0.0 μB per formula unit. The formation enthalpy at 0 K is -46.2 kJ per mole of atoms.

***

No. 6
RbLi3Ir after structural relaxation. Source: the Alexandria database, functional GGA-PBE.

```
data_RbLi3Ir
_cell_length_a 4.562
_cell_length_b 4.562
_cell_length_c 4.562
_cell_angle_alpha 90.00
_cell_angle_beta 90.00
_cell_angle_gamma 90.00
_symmetry_space_group_name_H-M 'P m -3 m'
_symmetry_Int_Tables_number 221
_symmetry_space_group_name_Hall '-P 4 2 3'
loop_
_atom_site_label
_atom_site_type_symbol
_atom_site_fract_x
_atom_site_fract_y
_atom_site_fract_z
_atom_site_occupancy
Rb1 Rb 0.000 0.000 0.000 1
Li1 Li 0.000 0.000 0.500 1
Ir1 Ir 0.500 0.500 0.500 1
```

Output
For the total energy, the calculation gives -1.8493 eV/atom. Its total magnetization is 0.0 μB per formula unit. The formation enthalpy at 0 K is 122.0 kJ per mole of atoms.

***

No. 7
LaZnSe after structural relaxation. Source: the Alexandria database, functional GGA-PBE.

```
data_LaZnSe
_cell_length_a 4.6649
_cell_length_b 4.6649
_cell_length_c 3.8472
_cell_angle_alpha 90.00
_cell_angle_beta 90.00
_cell_angle_gamma 120.00
_symmetry_space_group_name_H-M 'P -6 m 2'
_symmetry_Int_Tables_number 187
_symmetry_space_group_name_Hall 'P -6 2'
loop_
_atom_site_label
_atom_site_type_symbol
_atom_site_fract_x
_atom_site_fract_y
_atom_site_fract_z
_atom_site_occupancy
La1 La 0.0000 0.0000 0.0000 1
Zn1 Zn 0.3333 0.6667 0.5000 1
Se1 Se 0.6667 0.3333 0.5000 1
```

Output
For the formation energy from raw total energies, the calculation gives -876 meV/atom. For the total energy, the calculation gives -4.1048 eV/atom. Its total magnetization is 0.0 μB per formula unit.

***

No. 8
BeOsBr2 after structural relaxation. Source: the Alexandria database, functional GGA-PBE.

```
data_BeOsBr2
_cell_length_a 6.611
_cell_length_b 6.611
_cell_length_c 6.611
_cell_angle_alpha 90.00
_cell_angle_beta 90.00
_cell_angle_gamma 90.00
_symmetry_space_group_name_H-M 'F -4 3 m'
_symmetry_Int_Tables_number 216
_symmetry_space_group_name_Hall 'F -4 2 3'
loop_
_atom_site_label
_atom_site_type_symbol
_atom_site_fract_x
_atom_site_fract_y
_atom_site_fract_z
_atom_site_occupancy
Be1 Be 0.000 0.000 0.000 1
Os1 Os 0.250 0.250 0.250 1
Br1 Br 0.000 0.000 0.500 1
Br2 Br 0.250 0.250 0.750 1
```

Output
For the formation energy from raw total energies, the calculation gives 1618 meV/atom. For the total energy, the calculation gives -2.9577 eV/atom. Its total magnetization is 2.2 μB per formula unit.

***

No. 9
Pm2GeRh6C after structural relaxation. Source: the Alexandria database, functional GGA-PBE.

```
data_Pm2GeRh6C
_cell_length_a 8.828
_cell_length_b 8.828
_cell_length_c 8.828
_cell_angle_alpha 90.00
_cell_angle_beta 90.00
_cell_angle_gamma 90.00
_symmetry_space_group_name_H-M 'F m -3 m'
_symmetry_Int_Tables_number 225
_symmetry_space_group_name_Hall '-F 4 2 3'
loop_
_atom_site_label
_atom_site_type_symbol
_atom_site_fract_x
_atom_site_fract_y
_atom_site_fract_z
_atom_site_occupancy
Pm1 Pm 0.250 0.250 0.250 1
Ge1 Ge 0.000 0.000 0.000 1
Rh1 Rh 0.000 0.000 0.269 1
C1 C 0.000 0.000 0.500 1
```

Output
For the total energy, the calculation gives -7.2273 eV/atom. Its total magnetization is 0.0 μB per formula unit. The formation enthalpy at 0 K is -46.5 kJ per mole of atoms.

***

No. 10
TiCoTcSb after structural relaxation. Source: the Alexandria database, functional GGA-PBE.

```
data_TiCoTcSb
_cell_length_a 6.227
_cell_length_b 6.227
_cell_length_c 6.227
_cell_angle_alpha 90.00
_cell_angle_beta 90.00
_cell_angle_gamma 90.00
_symmetry_space_group_name_H-M 'F -4 3 m'
_symmetry_Int_Tables_number 216
_symmetry_space_group_name_Hall 'F -4 2 3'
loop_
_atom_site_label
_atom_site_type_symbol
_atom_site_fract_x
_atom_site_fract_y
_atom_site_fract_z
_atom_site_occupancy
Ti1 Ti 0.000 0.000 0.000 1
Co1 Co 0.250 0.250 0.750 1
Tc1 Tc 0.250 0.250 0.250 1
Sb1 Sb 0.000 0.000 0.500 1
```

Output
For the formation energy from raw total energies, the calculation gives -269 meV/atom. For the total energy, the calculation gives -7.6414 eV/atom. Its total magnetization is 1.0 μB per formula unit.

***

No. 11
Pr6InPb2 after structural relaxation. Source: the Alexandria database, functional GGA-PBE.

```
data_Pr6InPb2
_cell_length_a 8.7187
_cell_length_b 8.7187
_cell_length_c 4.6266
_cell_angle_alpha 90.00
_cell_angle_beta 90.00
_cell_angle_gamma 120.00
_symmetry_space_group_name_H-M 'P -6 2 m'
_symmetry_Int_Tables_number 189
_symmetry_space_group_name_Hall 'P -6 -2'
loop_
_atom_site_label
_atom_site_type_symbol
_atom_site_fract_x
_atom_site_fract_y
_atom_site_fract_z
_atom_site_occupancy
Pr1 Pr 0.0000 0.2576 0.0000 1
Pr2 Pr 0.0000 0.5921 0.5000 1
In1 In 0.0000 0.0000 0.5000 1
Pb1 Pb 0.3333 0.6667 0.0000 1
```

Output
For the total energy, the calculation gives -4.7137 eV/atom. Its total magnetization is 4.8 μB per formula unit. The formation enthalpy at 0 K is -38.5 kJ per mole of atoms.

***

No. 12
CaTa2Fe after structural relaxation. Source: the Alexandria database, functional GGA-PBE.

```
data_CaTa2Fe
_cell_length_a 6.494
_cell_length_b 6.494
_cell_length_c 6.494
_cell_angle_alpha 90.00
_cell_angle_beta 90.00
_cell_angle_gamma 90.00
_symmetry_space_group_name_H-M 'F m -3 m'
_symmetry_Int_Tables_number 225
_symmetry_space_group_name_Hall '-F 4 2 3'
loop_
_atom_site_label
_atom_site_type_symbol
_atom_site_fract_x
_atom_site_fract_y
_atom_site_fract_z
_atom_site_occupancy
Ca1 Ca 0.000 0.000 0.000 1
Ta1 Ta 0.250 0.250 0.250 1
Fe1 Fe 0.000 0.000 0.500 1
```

Output
For the total energy, the calculation gives -7.7311 eV/atom. Its total magnetization is 0.0 μB per formula unit. The formation enthalpy at 0 K is 78.3 kJ per mole of atoms.